The following is a DFT calculation (PBEsol) of an optimized crystal structure of SnH3Au.

Structure (CIF):
```
data_SnH3Au
_space_group_name_H-M_alt 'P m -3 m'
_space_group_IT_number 221
_space_group_name_Hall '-P 4 2 3'
_cell_length_a 3.902
_cell_length_b 3.902
_cell_length_c 3.902
_cell_angle_alpha 90.00
_cell_angle_beta 90.00
_cell_angle_gamma 90.00
loop_
_atom_site_label
_atom_site_fract_x
_atom_site_fract_y
_atom_site_fract_z
Sn1 0.000 0.000 0.000
H1 0.000 0.000 0.500
Au1 0.500 0.500 0.500
```

- Polymorph energy (0 for the lowest one): 294 meV/atom
- Raw total energy: -0.2159 Ry per atom

---

The following is a DFT calculation (PBEsol) of an optimized crystal structure of CaZrN2.

Structure (CIF):
```
data_CaZrN2
_space_group_name_H-M_alt 'I -4 2 d'
_space_group_IT_number 122
_space_group_name_Hall 'I -4 2bw'
_cell_length_a 5.531
_cell_length_b 5.531
_cell_length_c 8.451
_cell_angle_alpha 90.00
_cell_angle_beta 90.00
_cell_angle_gamma 90.00
loop_
_atom_site_label
_atom_site_fract_x
_atom_site_fract_y
_atom_site_fract_z
Ca1 0.000 0.000 0.000
Zr1 0.000 0.000 0.500
N1 0.203 0.250 0.625
```

- Formation energy without anion corrections: -5.8 eV/f.u.
- Raw total energy: -0.6260 Ry per atom